# 1
# Sr2Li5Cd12 | Alexandria | PBE | relaxed
data_Sr2Li5Cd12
_cell_length_a 7.6123
_cell_length_b 7.6123
_cell_length_c 7.6123
_cell_angle_alpha 83.44
_cell_angle_beta 83.44
_cell_angle_gamma 83.44
_space_group_name_H-M_alt 'P 1'
_space_group_IT_number 1
_space_group_name_Hall 'P 1'
loop_
_atom_site_label
_atom_site_type_symbol
_atom_site_fract_x
_atom_site_fract_y
_atom_site_fract_z
Cd1 Cd 0.8628 0.3446 0.3446
Li1 Li 0.0961 0.0961 0.0961
Cd2 Cd 0.0000 0.7083 0.2917
Li2 Li 0.0000 0.5000 0.0000
Li3 Li 0.9039 0.9039 0.9039
Cd3 Cd 0.1372 0.6554 0.6554
Li4 Li 0.5000 0.0000 0.0000
Cd4 Cd 0.2917 0.7083 0.0000
Cd5 Cd 0.3446 0.3446 0.8628
Cd6 Cd 0.7083 0.0000 0.2917
Cd7 Cd 0.7083 0.2917 0.0000
Cd8 Cd 0.0000 0.2917 0.7083
Sr1 Sr 0.6530 0.6530 0.6530
Cd9 Cd 0.2917 0.0000 0.7083
Li5 Li 0.0000 0.0000 0.5000
Cd10 Cd 0.6554 0.1372 0.6554
Sr2 Sr 0.3470 0.3470 0.3470
Cd11 Cd 0.6554 0.6554 0.1372
Cd12 Cd 0.3446 0.8628 0.3446
# * total energy: -28.7 eV for the cell shown

# 2
# RbTe2Ru | Alexandria | PBE | relaxed
data_RbTe2Ru
_cell_length_a 8.1826
_cell_length_b 8.1826
_cell_length_c 7.1455
_cell_angle_alpha 55.07
_cell_angle_beta 55.07
_cell_angle_gamma 90.00
_space_group_name_H-M_alt 'P 1'
_space_group_IT_number 1
_space_group_name_Hall 'P 1'
loop_
_atom_site_label
_atom_site_type_symbol
_atom_site_fract_x
_atom_site_fract_y
_atom_site_fract_z
Te1 Te 0.3750 0.2613 0.7500
Te2 Te 0.8750 0.9887 0.7500
Te3 Te 0.7387 0.1250 0.2500
Ru1 Ru 0.0000 0.0000 0.0000
Te4 Te 0.0113 0.6250 0.2500
Rb1 Rb 0.5000 0.5000 0.0000
Ru2 Ru 0.7500 0.2500 0.5000
Rb2 Rb 0.2500 0.7500 0.5000
# * energy relative to the elements, uncorrected: -0.28 eV/atom

# 3
# CuTc2Os | Alexandria | PBE | relaxed
data_CuTc2Os
_cell_length_a 2.7303
_cell_length_b 2.7303
_cell_length_c 7.5331
_cell_angle_alpha 90.00
_cell_angle_beta 90.00
_cell_angle_gamma 90.00
_space_group_name_H-M_alt 'P 1'
_space_group_IT_number 1
_space_group_name_Hall 'P 1'
loop_
_atom_site_label
_atom_site_type_symbol
_atom_site_fract_x
_atom_site_fract_y
_atom_site_fract_z
Os1 Os 0.5000 0.5000 0.7502
Cu1 Cu 0.0000 0.0000 0.5028
Tc1 Tc 0.0000 0.0000 0.9888
Tc2 Tc 0.5000 0.5000 0.2583
# * total energy: -35.2 eV for the cell shown

# 4
# DyYPd2 | Alexandria | PBE | relaxed
data_DyYPd2
_cell_length_a 3.7653
_cell_length_b 4.5336
_cell_length_c 5.6157
_cell_angle_alpha 90.00
_cell_angle_beta 109.63
_cell_angle_gamma 90.00
_space_group_name_H-M_alt 'P 1'
_space_group_IT_number 1
_space_group_name_Hall 'P 1'
loop_
_atom_site_label
_atom_site_type_symbol
_atom_site_fract_x
_atom_site_fract_y
_atom_site_fract_z
Y1 Y 0.7206 0.0000 0.9804
Pd1 Pd 0.1685 0.5000 0.8757
Dy1 Dy 0.4455 0.5000 0.4299
Pd2 Pd 0.9964 0.0000 0.5321
# * total energy: -25.1 eV for the cell shown

# 5
# Ba2ScCd2 | Alexandria | PBE | relaxed
data_Ba2ScCd2
_cell_length_a 8.0063
_cell_length_b 8.0063
_cell_length_c 5.6779
_cell_angle_alpha 90.00
_cell_angle_beta 90.00
_cell_angle_gamma 90.00
_space_group_name_H-M_alt 'P 1'
_space_group_IT_number 1
_space_group_name_Hall 'P 1'
loop_
_atom_site_label
_atom_site_type_symbol
_atom_site_fract_x
_atom_site_fract_y
_atom_site_fract_z
Cd1 Cd 0.1311 0.3689 0.0000
Sc1 Sc 0.5000 0.5000 0.0000
Ba1 Ba 0.1795 0.6795 0.5000
Sc2 Sc 0.0000 0.0000 0.0000
Cd2 Cd 0.8689 0.6311 0.0000
Ba2 Ba 0.6795 0.8205 0.5000
Ba3 Ba 0.8205 0.3205 0.5000
Cd3 Cd 0.6311 0.1311 0.0000
Cd4 Cd 0.3689 0.8689 0.0000
Ba4 Ba 0.3205 0.1795 0.5000
# * total energy: -24.5 eV for the cell shown

# 6
# K5SI2Br | Alexandria | PBE | relaxed
data_K5SI2Br
_cell_length_a 5.7990
_cell_length_b 8.2734
_cell_length_c 9.9969
_cell_angle_alpha 114.44
_cell_angle_beta 106.86
_cell_angle_gamma 90.00
_space_group_name_H-M_alt 'P 1'
_space_group_IT_number 1
_space_group_name_Hall 'P 1'
loop_
_atom_site_label
_atom_site_type_symbol
_atom_site_fract_x
_atom_site_fract_y
_atom_site_fract_z
K1 K 0.3736 0.1222 0.7472
Br1 Br 0.0000 0.5000 0.0000
I1 I 0.7902 0.7902 0.5804
S1 S 0.5000 0.0000 0.0000
K2 K 0.6264 0.3750 0.2528
K3 K 0.3736 0.6250 0.7472
I2 I 0.2098 0.2098 0.4196
K4 K 0.6264 0.8778 0.2528
K5 K 0.0000 0.0000 0.0000
# * energy relative to the elements, uncorrected: -1.31 eV/atom

# 7
# ScFe2Ir | Alexandria | PBE | relaxed
data_ScFe2Ir
_cell_length_a 8.4059
_cell_length_b 8.4059
_cell_length_c 8.4059
_cell_angle_alpha 19.69
_cell_angle_beta 19.69
_cell_angle_gamma 19.69
_space_group_name_H-M_alt 'P 1'
_space_group_IT_number 1
_space_group_name_Hall 'P 1'
loop_
_atom_site_label
_atom_site_type_symbol
_atom_site_fract_x
_atom_site_fract_y
_atom_site_fract_z
Sc1 Sc 0.7482 0.7482 0.7482
Fe1 Fe 0.2541 0.2541 0.2541
Fe2 Fe 0.9934 0.9934 0.9934
Ir1 Ir 0.5043 0.5043 0.5043
# * total energy: -31.8 eV for the cell shown

# 8
# BaFeTe4 | Alexandria | PBE | relaxed
data_BaFeTe4
_cell_length_a 6.4945
_cell_length_b 6.4945
_cell_length_c 6.4945
_cell_angle_alpha 60.00
_cell_angle_beta 60.00
_cell_angle_gamma 60.00
_space_group_name_H-M_alt 'P 1'
_space_group_IT_number 1
_space_group_name_Hall 'P 1'
loop_
_atom_site_label
_atom_site_type_symbol
_atom_site_fract_x
_atom_site_fract_y
_atom_site_fract_z
Te1 Te 0.3740 0.8779 0.3740
Ba1 Ba 0.7500 0.7500 0.7500
Te2 Te 0.3740 0.3740 0.3740
Te3 Te 0.8779 0.3740 0.3740
Fe1 Fe 0.0000 0.0000 0.0000
Te4 Te 0.3740 0.3740 0.8779
# * energy relative to the elements, uncorrected: 0.21 eV/atom

# 9
# MgTc2Pt | Alexandria | PBE | relaxed
data_MgTc2Pt
_cell_length_a 4.7400
_cell_length_b 4.7400
_cell_length_c 4.7400
_cell_angle_alpha 130.04
_cell_angle_beta 130.04
_cell_angle_gamma 73.34
_space_group_name_H-M_alt 'P 1'
_space_group_IT_number 1
_space_group_name_Hall 'P 1'
loop_
_atom_site_label
_atom_site_type_symbol
_atom_site_fract_x
_atom_site_fract_y
_atom_site_fract_z
Pt1 Pt 0.7500 0.2500 0.5000
Tc1 Tc 0.2500 0.7500 0.5000
Tc2 Tc 0.0000 0.0000 0.0000
Mg1 Mg 0.5000 0.5000 0.0000
# * total energy: -28.5 eV for the cell shown

# 10
# FeSiNi2 | Alexandria | PBE | relaxed
data_FeSiNi2
_cell_length_a 3.7037
_cell_length_b 2.5601
_cell_length_c 4.8960
_cell_angle_alpha 74.73
_cell_angle_beta 90.00
_cell_angle_gamma 90.00
_space_group_name_H-M_alt 'P 1'
_space_group_IT_number 1
_space_group_name_Hall 'P 1'
loop_
_atom_site_label
_atom_site_type_symbol
_atom_site_fract_x
_atom_site_fract_y
_atom_site_fract_z
Ni1 Ni 0.5000 0.4386 0.2424
Fe1 Fe 0.5000 0.6976 0.7300
Ni2 Ni 0.0000 0.0554 0.0125
Si1 Si 0.0000 0.3084 0.5151
# * energy relative to the elements, uncorrected: -0.25 eV/atom

# 11
# ZrTcSb2 | Alexandria | PBE | relaxed
data_ZrTcSb2
_cell_length_a 3.3088
_cell_length_b 3.3088
_cell_length_c 7.2899
_cell_angle_alpha 90.00
_cell_angle_beta 90.00
_cell_angle_gamma 93.11
_space_group_name_H-M_alt 'P 1'
_space_group_IT_number 1
_space_group_name_Hall 'P 1'
loop_
_atom_site_label
_atom_site_type_symbol
_atom_site_fract_x
_atom_site_fract_y
_atom_site_fract_z
Zr1 Zr 0.5000 0.5000 0.7500
Sb1 Sb 0.0000 0.0000 0.4729
Tc1 Tc 0.5000 0.5000 0.2500
Sb2 Sb 0.0000 0.0000 0.0271
# * energy relative to the elements, uncorrected: -0.16 eV/atom

# 12
# Cs3RuPb | Alexandria | PBE | relaxed
data_Cs3RuPb
_cell_length_a 7.2972
_cell_length_b 7.2972
_cell_length_c 7.2972
_cell_angle_alpha 90.00
_cell_angle_beta 90.00
_cell_angle_gamma 90.00
_space_group_name_H-M_alt 'P 1'
_space_group_IT_number 1
_space_group_name_Hall 'P 1'
loop_
_atom_site_label
_atom_site_type_symbol
_atom_site_fract_x
_atom_site_fract_y
_atom_site_fract_z
Cs1 Cs 0.0000 0.5000 0.0000
Ru1 Ru 0.5000 0.5000 0.5000
Cs2 Cs 0.0000 0.0000 0.5000
Pb1 Pb 0.0000 0.0000 0.0000
Cs3 Cs 0.5000 0.0000 0.0000
# * total energy: -9.8 eV for the cell shown